Below is crystalline Cd2NiSb at its relaxed geometry, with properties calculated at the PBE level.

**Theoretical density**: 8.006 g/cm³
**Total magnetic moment**: 0.00 μB per formula unit
**Energy relative to the elements, uncorrected**: 0.04 eV/atom

a = 3.0987 Å, b = 4.1421 Å, c = 13.0987 Å
α = 90.00°, β = 90.00°, γ = 90.00°
Last column: nearest neighbours and their distance in Å.
Space group Immm (No. 71)
Asymmetric unit:
Cd: 0.0000 0.0000 0.1862  2 Ni 2.89, 6 Cd 3.08-3.10, 2 Sb 3.20
Ni: 0.0000 0.5000 0.5000  4 Sb 2.59, 4 Cd 2.89
Sb: 0.0000 0.5000 0.0000  4 Ni 2.59

Below is crystalline Cd2NiSb at its relaxed geometry, with properties calculated at the PBE level.

**Theoretical density**: 7.976 g/cm³
**Total magnetic moment**: 0.00 μB per formula unit
**Energy relative to the elements, uncorrected**: 0.22 eV/atom

a = 3.3041 Å, b = 3.3041 Å, c = 26.7728 Å
α = 90.00°, β = 90.00°, γ = 120.00°
Last column: nearest neighbours and their distance in Å.
Space group R-3m (No. 166, hexagonal axes)
Asymmetric unit:
Cd: 0.0000 0.0000 0.2366  3 Ni 2.67
Ni: 0.0000 0.0000 0.5000  6 Cd 2.67
Sb: 0.0000 0.0000 0.0000  6 Cd 3.22, 6 Sb 3.30

Below is crystalline CdNi2Sb2 at its relaxed geometry, with properties calculated at the PBE level.

**Theoretical density**: 8.096 g/cm³
**Total magnetic moment**: 0.00 μB per formula unit
**Energy relative to the elements, uncorrected**: 0.15 eV/atom

a = 7.9379 Å, b = 7.9379 Å, c = 3.0816 Å
α = 90.00°, β = 90.00°, γ = 90.00°
Last column: nearest neighbours and their distance in Å.
Space group P4/mbm (No. 127)
Asymmetric unit:
Cd: 0.0000 0.0000 0.0000  4 Sb 2.98, 2 Cd 3.08
Ni: 0.1168 0.3832 0.5000  1 Ni 2.62, 4 Sb 2.70
Sb: 0.1596 0.6596 0.0000  6 Ni 2.70-2.95, 2 Cd 2.98

Below is crystalline CdNiSb4 at its relaxed geometry, with properties calculated at the PBE level.

**Theoretical density**: 6.606 g/cm³
**Total magnetic moment**: 0.85 μB per formula unit
**Energy relative to the elements, uncorrected**: 0.67 eV/atom

a = 8.7144 Å, b = 8.7144 Å, c = 8.7144 Å
α = 90.00°, β = 90.00°, γ = 90.00°
Last column: nearest neighbours and their distance in Å.
Space group F-43m (No. 216)
Asymmetric unit:
Cd: 0.0000 0.0000 0.0000  12 Sb 3.61, 4 Ni 3.77
Ni: 0.2500 0.2500 0.7500  12 Sb 3.61, 4 Cd 3.77
Sb: 0.1250 0.1250 0.3750  6 Sb 3.08

Below is crystalline CdNiSb2 at its relaxed geometry, with properties calculated at the PBE level.

**Theoretical density**: 7.658 g/cm³
**Total magnetic moment**: 0.00 μB per formula unit
**Energy relative to the elements, uncorrected**: 0.06 eV/atom

a = 3.1900 Å, b = 3.1900 Å, c = 8.8344 Å
α = 90.00°, β = 90.00°, γ = 90.00°
Last column: nearest neighbours and their distance in Å.
Space group P4/mmm (No. 123)
Asymmetric unit:
Cd: 0.0000 0.0000 0.0000  4 Cd 3.19
Ni: 0.0000 0.0000 0.5000  8 Sb 2.79
Sb: 0.5000 0.5000 0.3144  4 Ni 2.79

Below is crystalline Cd2NiSb at its relaxed geometry, with properties calculated at the PBE level.

**Theoretical density**: 7.976 g/cm³
**Total magnetic moment**: 0.00 μB per formula unit
**Energy relative to the elements, uncorrected**: 0.22 eV/atom

a = 4.0343 Å, b = 4.0343 Å, c = 20.7367 Å
α = 90.00°, β = 90.00°, γ = 90.00°
Last column: nearest neighbours and their distance in Å.
Space group I-42d (No. 122)
Asymmetric unit:
Cd: 0.2357 0.2500 0.1250  4 Cd 2.77-2.94, 2 Ni 2.94, 2 Sb 2.98
Ni: 0.0000 0.0000 0.0000  4 Sb 2.85, 4 Cd 2.94
Sb: 0.0000 0.0000 0.5000  4 Ni 2.85, 4 Cd 2.98

Below is crystalline CdNiSb2 at its relaxed geometry, with properties calculated at the PBE level.

**Theoretical density**: 7.973 g/cm³
**Total magnetic moment**: 0.00 μB per formula unit
**Energy relative to the elements, uncorrected**: 0.30 eV/atom

a = 4.6088 Å, b = 4.6088 Å, c = 4.0653 Å
α = 90.00°, β = 90.00°, γ = 90.00°
Last column: nearest neighbours and their distance in Å.
Space group P4/mmm (No. 123)
Asymmetric unit:
Cd: 0.0000 0.0000 0.0000  8 Sb 3.07, 4 Ni 3.26
Ni: 0.5000 0.5000 0.0000  8 Sb 3.07, 4 Cd 3.26
Sb: 0.0000 0.5000 0.5000  4 Cd 3.07, 4 Ni 3.07, 4 Sb 3.26

Below is crystalline Sr2CdNi3Sb4 at its relaxed geometry, with properties calculated at the PBE level.

**Theoretical density**: 6.925 g/cm³
**Total magnetic moment**: 0.00 μB per formula unit
**Energy relative to the elements, uncorrected**: -0.49 eV/atom

a = 4.5858 Å, b = 4.5858 Å, c = 10.8407 Å
α = 90.00°, β = 90.00°, γ = 90.00°
Last column: nearest neighbours and their distance in Å.
Space group P-4m2 (No. 115)
Asymmetric unit:
Sr: 0.0000 0.5000 0.2424  8 Sb 3.45-3.49, 6 Ni 3.52-3.61, 2 Cd 3.61
Cd: 0.0000 0.0000 0.5000  4 Sb 2.81
Ni: 0.0000 0.5000 0.8851  5 Sb 2.55-2.61
Ni: 0.5000 0.5000 0.5000  4 Sb 2.81
Sb: 0.0000 0.0000 0.0000  4 Ni 2.61
Sb: 0.0000 0.5000 0.6499  3 Ni 2.55-2.81, 2 Cd 2.81
Sb: 0.5000 0.5000 0.0000  4 Ni 2.61

Below is crystalline CdNiSbTe2 at its relaxed geometry, with properties calculated at the PBE level.

**Theoretical density**: 6.752 g/cm³
**Total magnetic moment**: 0.00 μB per formula unit
**Energy relative to the elements, uncorrected**: 0.25 eV/atom

a = 5.3148 Å, b = 5.3148 Å, c = 4.7717 Å
α = 90.00°, β = 90.00°, γ = 90.00°
Last column: nearest neighbours and their distance in Å.
Space group P4/mmm (No. 123)
Asymmetric unit:
Cd: 0.0000 0.0000 0.0000  8 Te 3.57, 4 Sb 3.76
Ni: 0.5000 0.5000 0.5000  2 Sb 2.39, 4 Te 2.66
Sb: 0.5000 0.5000 0.0000  2 Ni 2.39
Te: 0.0000 0.5000 0.5000  2 Ni 2.66

Below is crystalline CdNiSbTe2 at its relaxed geometry, with properties calculated at the PBE level.

**Theoretical density**: 5.367 g/cm³
**Total magnetic moment**: 1.04 μB per formula unit
**Energy relative to the elements, uncorrected**: 1.15 eV/atom

a = 5.6020 Å, b = 5.6020 Å, c = 5.4034 Å
α = 90.00°, β = 90.00°, γ = 90.00°
Last column: nearest neighbours and their distance in Å.
Space group P4/mmm (No. 123)
Asymmetric unit:
Cd: 0.0000 0.0000 0.0000  2 Sb 2.70, 4 Te 2.80
Ni: 0.5000 0.5000 0.5000  8 Te 3.89, 4 Sb 3.96
Sb: 0.0000 0.0000 0.5000  2 Cd 2.70
Te: 0.0000 0.5000 0.0000  2 Cd 2.80

Below is crystalline YCdNiSb2 at its relaxed geometry, with properties calculated at the PBE level.

**Theoretical density**: 6.761 g/cm³
**Total magnetic moment**: 0.00 μB per formula unit
**Energy relative to the elements, uncorrected**: -0.13 eV/atom

a = 5.0544 Å, b = 5.0544 Å, c = 4.8407 Å
α = 90.00°, β = 90.00°, γ = 90.00°
Last column: nearest neighbours and their distance in Å.
Space group P4/mmm (No. 123)
Asymmetric unit:
Y: 0.0000 0.0000 0.0000  8 Sb 3.50, 4 Cd 3.57
Cd: 0.5000 0.5000 0.0000  2 Ni 2.42
Ni: 0.5000 0.5000 0.5000  2 Cd 2.42, 4 Sb 2.53
Sb: 0.0000 0.5000 0.5000  2 Ni 2.53

Below is crystalline ScCdNi2 at its relaxed geometry, with properties calculated at the PBE level.

**Theoretical density**: 7.423 g/cm³
**Total magnetic moment**: 0.00 μB per formula unit
**Formation energy**: -0.244 eV per atom

a = 3.7736 Å, b = 3.7736 Å, c = 8.6326 Å
α = 90.00°, β = 90.00°, γ = 90.00°
Last column: nearest neighbours and their distance in Å.
Space group I-4m2 (No. 119)
Asymmetric unit:
Sc: 0.0000 0.0000 0.0000  8 Ni 2.67-2.87, 4 Cd 2.87
Cd: 0.0000 0.5000 0.2500  8 Ni 2.67-2.87, 4 Sc 2.87
Ni: 0.0000 0.0000 0.5000  4 Sc 2.67, 4 Cd 2.87, 4 Ni 2.87
Ni: 0.0000 0.5000 0.7500  4 Cd 2.67, 4 Ni 2.87, 4 Sc 2.87